{
  "formula": "SiNi2Br",
  "functional": "PBE-GGA",
  "state": "relaxed",
  "magnetic_moment_mub_per_atom": 0.00,
  "e_form_raw_kj_per_mol_atoms": 37.85,
  "relative_energy_mev_per_atom": 580,
  "sg": "Pmmm (47)",
  "cell": [[-1.0341, -2.7461, -0.2286], [3.2887, -0.8578, -4.5723], [2.7723, -1.2292, 2.2246]],
  "species": ["Br", "Ni", "Ni", "Si"],
  "fractional_positions": [[0.0000, 0.5000, 0.5000], [0.0000, 0.0000, 0.0000], [0.5000, 0.5000, 0.0000], [0.5000, 0.0000, 0.5000]]
}